# 1
NaCd2CuW (PBE, optimized geometry); formation enthalpy at 0 K = 1.619 eV per atom; symmetry = P4/mmm, No. 123
1.0
5.4440 0.0000 0.0000
0.0000 5.4440 0.0000
0.0000 0.0000 5.7756
Na Cd Cu W
1 2 1 1
Cartesian
0.0000 0.0000 0.0000
0.0000 2.7220 2.8878
2.7220 0.0000 2.8878
2.7220 2.7220 0.0000
0.0000 0.0000 2.8878

***

# 2
NaZnCd2Cu (PBE, optimized geometry); formation enthalpy at 0 K = 0.086 eV per atom; symmetry = P4/mmm, No. 123
1.0
5.0445 0.0000 0.0000
0.0000 5.0445 0.0000
0.0000 0.0000 4.7347
Na Zn Cd Cu
1 1 2 1
Cartesian
0.0000 0.0000 0.0000
2.5222 2.5222 0.0000
0.0000 2.5222 2.3673
2.5222 0.0000 2.3673
2.5222 2.5222 2.3673

***

# 3
NbCd2Cu (PBE, optimized geometry); formation enthalpy at 0 K = 0.422 eV per atom; relative energy among the computed polymorphs = 297.3 meV/atom; symmetry = R-3m, No. 166
1.0
2.8899 0.0000 0.0000
-1.4449 2.5027 0.0000
0.0000 0.0000 31.5145
Nb Cd Cu
3 6 3
Cartesian
0.0000 0.0000 0.0000
0.0000 1.6685 21.0097
1.4449 0.8342 10.5048
0.0000 0.0000 2.9776
0.0000 0.0000 28.5368
0.0000 1.6685 18.0320
0.0000 1.6685 23.9873
1.4449 0.8342 7.5272
1.4449 0.8342 13.4825
0.0000 0.0000 15.7572
0.0000 1.6685 5.2524
1.4449 0.8342 26.2621